CrH2AuO PBE with a Hubbard U optimized geometry; symmetry = No. 123; magnetization = 2.996 μB per formula unit; calculated total energy = -4.39 eV per atom
1.0
-0.908 -2.864 1.913
3.343 -1.890 -1.243
1.778 1.304 2.797
H Cr O Au
2 1 1 1
Cartesian
-0.454 -1.432 0.956
0.889 0.652 1.399
0.000 0.000 0.000
1.671 -0.945 -0.622
2.106 -1.725 1.733